1.
# BaZr2P

A relaxed BaZr2P crystal (PBE, Alexandria via LeMat-Bulk).

Lattice parameters (Å, degrees): 4.217 3.999 7.232 74.11 90.00 90.00
Fractional positions:
Zr 0.000 0.793 0.041
Zr 0.500 0.274 0.079
P 0.500 0.909 0.806
Ba 0.000 0.524 0.574



2.
# BaZr2P

A relaxed BaZr2P crystal (PBE, Alexandria via LeMat-Bulk).

Lattice parameters (Å, degrees): 8.610 8.610 8.610 156.22 153.73 35.73
Fractional positions:
Zr 0.258 0.758 0.500
Zr 0.897 0.897 0.000
P 0.771 0.271 0.500
Ba 0.574 0.574 0.000



no.,DFT total energy (eV for the cell shown),Fermi-level density of states (states/eV per cell)
1,-25.9,4.432
2,-25.4,4.893